Material: PmAu2
Method: DFT, PBE
State: relaxed

- energy of formation (eV per atom) = -0.5250
- VASP energy (eV per atom) = -4.2934
- E above lowest polymorph (meV per atom) = 272
- SG = Fd-3m, No. 227
- size of the total moment (μB per cell) = 0.00
- crystal system = cubic
- DOS(E_F) (states/eV/cell) = 5.6

Cell: 5.7335 5.7335 5.7335 Å, 60.00 60.00 60.00°
Atoms (fractional coordinates):
Pm (0.0000, 0.0000, 0.0000)
Pm (0.2500, 0.2500, 0.2500)
Au (0.6250, 0.6250, 0.6250)
Au (0.6250, 0.6250, 0.1250)
Au (0.6250, 0.1250, 0.6250)
Au (0.1250, 0.6250, 0.6250)


Material: YMg2Au8
Method: DFT, PBE
State: relaxed

- energy of formation (eV per atom) = -0.5061
- VASP energy (eV per atom) = -3.7672
- SG = C2/m, No. 12
- size of the total moment (μB per cell) = 0.00
- crystal system = monoclinic
- DOS(E_F) (states/eV/cell) = 3.3

Cell: 4.2115 6.7599 7.8484 Å, 105.81 105.56 90.00°
Atoms (fractional coordinates):
Au (0.8558, 0.7977, 0.7116)
Au (0.9571, 0.2792, 0.9143)
Au (0.3179, 0.0907, 0.6357)
Au (0.1442, 0.2023, 0.2884)
Au (0.3952, 0.5387, 0.7904)
Au (0.0429, 0.7208, 0.0857)
Au (0.6821, 0.9093, 0.3643)
Au (0.6048, 0.4613, 0.2096)
Y (0.5000, 0.0000, 0.0000)
Mg (0.2227, 0.6564, 0.4453)
Mg (0.7773, 0.3436, 0.5547)


Material: ThBeCuC
Method: DFT, PBE
State: relaxed

- energy of formation (eV per atom) = -0.2287
- VASP energy (eV per atom) = -6.3452
- SG = P4/nmm, No. 129
- size of the total moment (μB per cell) = 0.00
- crystal system = tetragonal
- DOS(E_F) (states/eV/cell) = 3.5

Cell: 3.7840 3.7840 8.3671 Å, 90.00 90.00 90.00°
Atoms (fractional coordinates):
C (0.5000, 0.0000, 0.8633)
C (0.0000, 0.5000, 0.1367)
Th (0.0000, 0.5000, 0.8393)
Th (0.5000, 0.0000, 0.1607)
Cu (0.5000, 0.5000, 0.5000)
Cu (0.0000, 0.0000, 0.5000)
Be (0.5000, 0.0000, 0.6603)
Be (0.0000, 0.5000, 0.3397)


Material: Sm2AgPd
Method: DFT, PBE
State: relaxed

- energy of formation (eV per atom) = -0.5217
- VASP energy (eV per atom) = -4.8923
- E above lowest polymorph (meV per atom) = 31
- SG = Fm-3m, No. 225
- size of the total moment (μB per cell) = 0.00
- crystal system = cubic
- DOS(E_F) (states/eV/cell) = 2.6

Cell: 5.1558 5.1558 5.1558 Å, 60.00 60.00 60.00°
Atoms (fractional coordinates):
Pd (0.0000, 0.0000, 0.0000)
Ag (0.5000, 0.5000, 0.5000)
Sm (0.2500, 0.2500, 0.2500)
Sm (0.7500, 0.7500, 0.7500)


Material: NbCdI6
Method: DFT, PBE
State: relaxed

- VASP energy (eV per atom) = -2.9642
- SG = C2/m, No. 12
- size of the total moment (μB per cell) = 1.01
- crystal system = monoclinic
- DOS(E_F) (states/eV/cell) = 1.1
- formation energy without anion corrections (eV/atom) = -0.429

Cell: 7.4667 8.3859 7.6822 Å, 105.89 100.40 124.03°
Atoms (fractional coordinates):
I (0.4437, 0.7242, 0.0000)
I (0.5563, 0.2758, 0.0000)
I (0.1519, 0.4069, 0.2978)
I (0.8481, 0.5931, 0.7022)
I (0.8541, 0.1091, 0.7022)
I (0.1459, 0.8909, 0.2978)
Nb (0.0000, 0.5000, 0.0000)
Cd (0.0000, 0.0000, 0.0000)


Material: TbPm12Dy7
Method: DFT, PBE
State: relaxed

- energy of formation (eV per atom) = 0.2743
- VASP energy (eV per atom) = -4.4183
- E above lowest polymorph (meV per atom) = 29
- SG = R-3, No. 148
- size of the total moment (μB per cell) = 0.00
- crystal system = trigonal
- DOS(E_F) (states/eV/cell) = 23.1

Cell: 8.8188 8.8188 8.8188 Å, 94.25 94.25 94.25°
Atoms (fractional coordinates):
Pm (0.6806, 0.8152, 0.2494)
Pm (0.3194, 0.1848, 0.7506)
Pm (0.7506, 0.3194, 0.1848)
Pm (0.4750, 0.1449, 0.4096)
Pm (0.1848, 0.7506, 0.3194)
Pm (0.5904, 0.5250, 0.8551)
Pm (0.8152, 0.2494, 0.6806)
Pm (0.1449, 0.4096, 0.4750)
Pm (0.8551, 0.5904, 0.5250)
Pm (0.2494, 0.6806, 0.8152)
Pm (0.4096, 0.4750, 0.1449)
Pm (0.5250, 0.8551, 0.5904)
Dy (0.0158, 0.0811, 0.3467)
Dy (0.5000, 0.5000, 0.5000)
Dy (0.9189, 0.6533, 0.9842)
Dy (0.6533, 0.9842, 0.9189)
Dy (0.3467, 0.0158, 0.0811)
Dy (0.0811, 0.3467, 0.0158)
Dy (0.9842, 0.9189, 0.6533)
Tb (0.0000, 0.0000, 0.0000)


Material: InRhF3
Method: DFT, PBE
State: relaxed

- VASP energy (eV per atom) = -4.1635
- E above lowest polymorph (meV per atom) = 265
- SG = Pm-3m, No. 221
- size of the total moment (μB per cell) = 1.41
- crystal system = cubic
- DOS(E_F) (states/eV/cell) = 11.9
- formation energy without anion corrections (eV/atom) = -1.023

Cell: 4.1984 4.1984 4.1984 Å, 90.00 90.00 90.00°
Atoms (fractional coordinates):
In (0.0000, 0.0000, 0.0000)
F (0.5000, 0.0000, 0.0000)
F (0.0000, 0.5000, 0.0000)
F (0.0000, 0.0000, 0.5000)
Rh (0.5000, 0.5000, 0.5000)


Material: ZrGa2Os2
Method: DFT, PBE
State: relaxed

- energy of formation (eV per atom) = -0.0167
- VASP energy (eV per atom) = -7.4290
- E above lowest polymorph (meV per atom) = 147
- SG = I4/mmm, No. 139
- size of the total moment (μB per cell) = 0.00
- crystal system = tetragonal
- DOS(E_F) (states/eV/cell) = 5.1

Cell: 4.0120 4.0120 5.9722 Å, 70.37 70.37 90.00°
Atoms (fractional coordinates):
Os (0.7500, 0.2500, 0.5000)
Os (0.2500, 0.7500, 0.5000)
Zr (0.0000, 0.0000, 0.0000)
Ga (0.3889, 0.3889, 0.2222)
Ga (0.6111, 0.6111, 0.7778)